Record 1
Computed, not measured: crystalline TbHo3Er3S8 at its relaxed geometry at the PBE-GGA level of DFT.

abc: 7.7383 7.7383 18.9693
angles: 90.00 90.00 120.00
Space group R-3m (No. 166, hexagonal axes)
Asymmetric unit:
Tb1 0.0000 0.0000 0.0000 (multiplicity 3)
Ho1 0.0000 0.5000 0.5000 (multiplicity 9)
Er1 0.0000 0.5000 0.0000 (multiplicity 9)
S1 0.0000 0.0000 0.2506 (multiplicity 6)
S2 0.0052 0.5026 0.2493 (multiplicity 18)

Values from the calculation:
- Formation energy without anion corrections: -2.034 eV per atom


Record 2
Computed, not measured: crystalline TbHo4ErS8 at its relaxed geometry at the PBE-GGA level of DFT.

abc: 8.0165 8.0165 19.6168
angles: 90.00 90.00 120.00
Space group R3m (No. 160, hexagonal axes)
Asymmetric unit:
Tb1 0.0000 0.0000 0.0000 (multiplicity 3)
Ho1 0.0000 0.0000 0.2496 (multiplicity 3)
Ho2 0.0005 0.5003 0.1249 (multiplicity 9)
Er1 0.0000 0.0000 0.6246 (multiplicity 3)
S1 0.0000 0.0000 0.3820 (multiplicity 3)
S2 0.0000 0.0000 0.8665 (multiplicity 3)
S3 0.0234 0.5117 0.3772 (multiplicity 9)
S4 0.1770 0.3540 0.2061 (multiplicity 9)

Values from the calculation:
- Formation energy without anion corrections: -1.929 eV per atom


Record 3
Computed, not measured: crystalline TbHo2Er3S6 at its relaxed geometry at the PBE-GGA level of DFT.

abc: 6.7019 11.6612 6.7246
angles: 90.00 109.46 90.00
Space group C2/m (No. 12)
Asymmetric unit:
Tb1 0.0000 0.0000 0.0000 (multiplicity 2)
Ho1 0.0000 0.3336 0.0000 (multiplicity 4)
Er1 0.0000 0.1654 0.5000 (multiplicity 4)
Er2 0.0000 0.5000 0.5000 (multiplicity 2)
S1 0.2475 0.3321 0.7464 (multiplicity 8)
S2 0.2485 0.5000 0.2528 (multiplicity 4)

Values from the calculation:
- Formation energy without anion corrections: -1.974 eV per atom


The evaluated E_tot for the records listed, in turn: -6.37 -6.25 -6.33 eV/atom.